NaGa2PS6 | PBE | optimized geometry

```
NaGa2PS6
1.0
6.6271 -6.3066 0.0000
6.6271 6.3066 0.0000
-3.0317 0.0000 6.3060
Na Ga P S
2 4 2 12
direct
0.1059 0.8941 0.7500 Na
0.8941 0.1059 0.2500 Na
0.2383 0.3824 0.8802 Ga
0.3824 0.2383 0.3802 Ga
0.6176 0.7617 0.6198 Ga
0.7617 0.6176 0.1198 Ga
0.1977 0.8023 0.2500 P
0.8023 0.1977 0.7500 P
0.0098 0.2078 0.6915 S
0.2078 0.0098 0.1915 S
0.2097 0.6518 0.9676 S
0.2614 0.4060 0.5742 S
0.3482 0.7903 0.5324 S
0.4060 0.2614 0.0742 S
0.5940 0.7386 0.9258 S
0.6518 0.2097 0.4676 S
0.7386 0.5940 0.4258 S
0.7903 0.3482 0.0324 S
0.7922 0.9902 0.8085 S
0.9902 0.7922 0.3085 S
```

Results
- Space group: C2/c (15)
- Calculated density: 2.4 g/cm3
- DFT total energy: -4.245 eV/atom
- Raw formation energy: -0.49 eV/atom